No. 1
PdRuRh3 | GGA-PBE | optimized geometry

Output
V, Å³ per atom: 14.9
DOS at the Fermi energy, states/eV per cell: 15.6
Relative energy among the computed polymorphs, kJ per mole of atoms: 0.00
DFT formation energy, eV/atom: 0.188

a = 2.7302 Å, b = 7.6984 Å, c = 7.1830 Å
α = 100.01°, β = 90.00°, γ = 90.00°
Fractional coordinates of all 10 atoms:
Rh (0.2500, 0.7979, 0.5488)
Rh (0.7500, 0.8778, 0.8735)
Rh (0.7500, 0.3488, 0.9651)
Rh (0.2500, 0.6512, 0.0349)
Rh (0.7500, 0.2021, 0.4512)
Rh (0.2500, 0.1222, 0.1265)
Ru (0.7500, 0.8749, 0.2679)
Ru (0.2500, 0.1251, 0.7321)
Pd (0.2500, 0.4817, 0.6723)
Pd (0.7500, 0.5183, 0.3277)



No. 2
PdRu3Rh | GGA-PBE | optimized geometry

Output
V, Å³ per atom: 19.9
DOS at the Fermi energy, states/eV per cell: 8.4
Relative energy among the computed polymorphs, kJ per mole of atoms: 0.00
DFT formation energy, eV/atom: 1.887

a = 4.6341 Å, b = 4.6341 Å, c = 4.6341 Å
α = 90.00°, β = 90.00°, γ = 90.00°
Last column: magnetic moment on the atom in μB.
Fractional coordinates of all 5 atoms:
Ru (0.0000, 0.0000, 0.5000)  1.08
Ru (0.5000, 0.0000, 0.0000)  0.96
Ru (0.0000, 0.5000, 0.0000)  1.05
Rh (0.0000, 0.0000, 0.0000)  -0.02
Pd (0.5000, 0.5000, 0.5000)  0.24



No. 3
PdRu2Rh6 | GGA-PBE | optimized geometry

Output
V, Å³ per atom: 14.7
DOS at the Fermi energy, states/eV per cell: 13.7
DFT formation energy, eV/atom: 0.188

a = 2.7107 Å, b = 7.2668 Å, c = 7.7512 Å
α = 117.95°, β = 100.07°, γ = 90.00°
Fractional coordinates of all 9 atoms:
Rh (0.6770, 0.8565, 0.3540)
Rh (0.6770, 0.4974, 0.3540)
Rh (0.3230, 0.5026, 0.6460)
Rh (0.5000, 0.1759, 0.0000)
Rh (0.3230, 0.1435, 0.6460)
Rh (0.5000, 0.8241, 0.0000)
Pd (0.0000, 0.5000, 0.0000)
Ru (0.8546, 0.8546, 0.7092)
Ru (0.1454, 0.1454, 0.2908)



No. 4
Pd3RuRh12 | GGA-PBE | optimized geometry

Output
V, Å³ per atom: 14.4
DOS at the Fermi energy, states/eV per cell: 24.5
DFT formation energy, eV/atom: 0.062

a = 3.8548 Å, b = 3.8548 Å, c = 15.4612 Å
α = 90.00°, β = 90.00°, γ = 90.00°
Fractional coordinates of all 16 atoms:
Rh (0.5000, 0.0000, 0.8787)
Rh (0.0000, 0.5000, 0.3750)
Rh (0.0000, 0.5000, 0.8787)
Rh (0.5000, 0.5000, 0.7517)
Rh (0.5000, 0.0000, 0.3750)
Rh (0.5000, 0.5000, 0.2483)
Rh (0.5000, 0.0000, 0.6250)
Rh (0.5000, 0.5000, 0.0000)
Rh (0.0000, 0.5000, 0.1213)
Rh (0.0000, 0.5000, 0.6250)
Rh (0.5000, 0.5000, 0.5000)
Rh (0.5000, 0.0000, 0.1213)
Ru (0.0000, 0.0000, 0.0000)
Pd (0.0000, 0.0000, 0.2497)
Pd (0.0000, 0.0000, 0.5000)
Pd (0.0000, 0.0000, 0.7503)



DOS at the Fermi energy of number 2 (PdRu3Rh)? 8.4 states/eV per cell



Look up the DFT formation energy of the fourth one. 0.062 eV/atom



Which of these has the lowest DOS at the Fermi energy? PdRu3Rh



The highest V belongs to which entry? PdRu3Rh